# 1
Nb2CdAs | PBE | optimized geometry

Unit cell a=4.6686 b=4.6686 c=4.6686 alpha=60.00 beta=60.00 gamma=60.00
Last column: nearest neighbours and their distance in Å.
Atoms (fractional coordinates):
1 Nb 0.2500 0.2500 0.2500  4 As 2.86, 4 Cd 2.86
2 Nb 0.7500 0.7500 0.7500  4 As 2.86, 4 Cd 2.86
3 Cd 0.0000 0.0000 0.0000  8 Nb 2.86
4 As 0.5000 0.5000 0.5000  8 Nb 2.86

E_tot	-6.236	eV per atom
density of states at the Fermi level	2.322	states/eV/atom
ΔE_f	190	meV per atom
space-group type	Fm-3m, No. 225


# 2
Nb2CdAs2 | PBE | optimized geometry

Unit cell a=7.4240 b=7.4240 c=3.3611 alpha=90.00 beta=90.00 gamma=90.00
Last column: nearest neighbours and their distance in Å.
Atoms (fractional coordinates):
1 Nb 0.1410 0.3590 0.0000  6 As 2.73-2.78, 2 Cd 2.86, 1 Nb 2.96
2 Nb 0.3590 0.8590 0.0000  6 As 2.73-2.78, 2 Cd 2.86, 1 Nb 2.96
3 Nb 0.6410 0.1410 0.0000  6 As 2.73-2.78, 2 Cd 2.86, 1 Nb 2.96
4 Nb 0.8590 0.6410 0.0000  6 As 2.73-2.78, 2 Cd 2.86, 1 Nb 2.96
5 Cd 0.0000 0.0000 0.0000  4 Nb 2.86
6 Cd 0.5000 0.5000 0.0000  4 Nb 2.86
7 As 0.1483 0.6483 0.5000  6 Nb 2.73-2.78
8 As 0.3517 0.1483 0.5000  6 Nb 2.73-2.78
9 As 0.6483 0.8517 0.5000  6 Nb 2.73-2.78
10 As 0.8517 0.3517 0.5000  6 Nb 2.73-2.78

E_tot	-6.363	eV per atom
density of states at the Fermi level	0.183	states/eV/atom
ΔE_f	-292	meV per atom
space-group type	P4/mbm, No. 127


# 3
Nb2CdAs2 | PBE | optimized geometry

Unit cell a=7.4456 b=7.4456 c=3.2774 alpha=90.00 beta=90.00 gamma=90.00
Last column: nearest neighbours and their distance in Å.
Atoms (fractional coordinates):
1 Nb 0.1475 0.3525 0.0000  6 As 2.72-2.75
2 Nb 0.3525 0.8525 0.0000  6 As 2.72-2.75
3 Nb 0.6475 0.1475 0.0000  6 As 2.72-2.75
4 Nb 0.8525 0.6475 0.0000  6 As 2.72-2.75
5 Cd 0.0000 0.0000 0.5000  4 As 2.86
6 Cd 0.5000 0.5000 0.5000  4 As 2.86
7 As 0.1433 0.6433 0.5000  6 Nb 2.72-2.75, 2 Cd 2.86, 1 As 3.02
8 As 0.3567 0.1433 0.5000  6 Nb 2.72-2.75, 2 Cd 2.86, 1 As 3.02
9 As 0.6433 0.8567 0.5000  6 Nb 2.72-2.75, 2 Cd 2.86, 1 As 3.02
10 As 0.8567 0.3567 0.5000  6 Nb 2.72-2.75, 2 Cd 2.86, 1 As 3.02

E_tot	-6.267	eV per atom
density of states at the Fermi level	0.044	states/eV/atom
ΔE_f	-197	meV per atom
space-group type	P4/mbm, No. 127


# 4
NbCdAs3 | PBE | optimized geometry

Unit cell a=5.0331 b=5.0331 c=5.0331 alpha=90.00 beta=90.00 gamma=90.00
Last column: nearest neighbours and their distance in Å.
Atoms (fractional coordinates):
1 Nb 0.0000 0.0000 0.0000  6 As 2.52
2 Cd 0.5000 0.5000 0.5000  12 As 3.56
3 As 0.0000 0.0000 0.5000  2 Nb 2.52
4 As 0.0000 0.5000 0.0000  2 Nb 2.52
5 As 0.5000 0.0000 0.0000  2 Nb 2.52

E_tot	-4.733	eV per atom
density of states at the Fermi level	0.844	states/eV/atom
ΔE_f	253	meV per atom
space-group type	Pm-3m, No. 221


# 5
Nb2CdAs | PBE | optimized geometry

Unit cell a=10.4227 b=10.4227 c=10.4227 alpha=158.05 beta=158.05 gamma=31.24
Last column: nearest neighbours and their distance in Å.
Atoms (fractional coordinates):
1 Nb 0.1144 0.6250 0.9894  4 Nb 2.75-2.87, 2 As 2.86, 2 Cd 2.89
2 Nb 0.3750 0.3644 0.4894  4 Nb 2.75-2.87, 2 As 2.86, 2 Cd 2.89
3 Nb 0.6356 0.1250 0.0106  4 Nb 2.75-2.87, 2 As 2.86, 2 Cd 2.89
4 Nb 0.8750 0.8856 0.5106  4 Nb 2.75-2.87, 2 As 2.86, 2 Cd 2.89
5 Cd 0.2500 0.7500 0.5000  4 As 2.81, 4 Nb 2.89
6 Cd 0.5000 0.5000 0.0000  4 As 2.81, 4 Nb 2.89
7 As 0.0000 0.0000 0.0000  4 Cd 2.81, 4 Nb 2.86
8 As 0.7500 0.2500 0.5000  4 Cd 2.81, 4 Nb 2.86

E_tot	-6.060	eV per atom
density of states at the Fermi level	0.994	states/eV/atom
ΔE_f	366	meV per atom
space-group type	I-42d, No. 122


# 6
Nb2CdAsPt | PBE | optimized geometry

Unit cell a=5.0084 b=5.0084 c=4.8001 alpha=90.00 beta=90.00 gamma=90.00
Last column: nearest neighbours and their distance in Å.
Atoms (fractional coordinates):
1 Nb 0.0000 0.5000 0.0000  2 Pt 2.50
2 Nb 0.5000 0.0000 0.0000  2 Pt 2.50
3 Cd 0.0000 0.0000 0.5000  8 Nb 3.47, 4 As 3.54
4 As 0.5000 0.5000 0.5000  2 Pt 2.40
5 Pt 0.5000 0.5000 0.0000  2 As 2.40, 4 Nb 2.50

E_tot	-5.386	eV per atom
density of states at the Fermi level	1.367	states/eV/atom
ΔE_f	963	meV per atom
space-group type	P4/mmm, No. 123


# 7
NbCdAs2Se | PBE | optimized geometry

Unit cell a=4.9878 b=4.9878 c=5.0687 alpha=90.00 beta=90.00 gamma=90.00
Last column: nearest neighbours and their distance in Å.
Atoms (fractional coordinates):
1 Nb 0.0000 0.0000 0.0000  4 Se 3.53, 8 As 3.56
2 Cd 0.5000 0.5000 0.5000  4 As 2.49, 2 Se 2.53
3 As 0.0000 0.5000 0.5000  2 Cd 2.49
4 As 0.5000 0.0000 0.5000  2 Cd 2.49
5 Se 0.5000 0.5000 0.0000  2 Cd 2.53

E_tot	-3.492	eV per atom
density of states at the Fermi level	1.531	states/eV/atom
uncorrected formation energy	1.261	eV/atom
space-group type	P4/mmm, No. 123


# 8
NbCdAs2Se | PBE | optimized geometry

Unit cell a=5.0852 b=5.0852 c=4.9836 alpha=90.00 beta=90.00 gamma=90.00
Last column: nearest neighbours and their distance in Å.
Atoms (fractional coordinates):
1 Nb 0.0000 0.0000 0.0000  2 Se 2.49, 4 As 2.54
2 Cd 0.5000 0.5000 0.5000  8 As 3.56, 4 Se 3.60
3 As 0.0000 0.5000 0.0000  2 Nb 2.54
4 As 0.5000 0.0000 0.0000  2 Nb 2.54
5 Se 0.0000 0.0000 0.5000  2 Nb 2.49

E_tot	-4.623	eV per atom
density of states at the Fermi level	0.565	states/eV/atom
uncorrected formation energy	0.131	eV/atom
space-group type	P4/mmm, No. 123


# 9
NbCdTeAs2 | PBE | optimized geometry

Unit cell a=5.3587 b=5.3587 c=5.2524 alpha=90.00 beta=90.00 gamma=90.00
Last column: nearest neighbours and their distance in Å.
Atoms (fractional coordinates):
1 Nb 0.0000 0.0000 0.0000  8 As 3.75, 4 Cd 3.79
2 Cd 0.5000 0.5000 0.0000  2 Te 2.63
3 Te 0.5000 0.5000 0.5000  2 Cd 2.63, 4 As 2.68
4 As 0.0000 0.5000 0.5000  2 Te 2.68
5 As 0.5000 0.0000 0.5000  2 Te 2.68

E_tot	-3.341	eV per atom
density of states at the Fermi level	1.367	states/eV/atom
uncorrected formation energy	1.344	eV/atom
space-group type	P4/mmm, No. 123


# 10
Nb2CdTeAs | PBE | optimized geometry

Unit cell a=5.2764 b=5.2764 c=5.1261 alpha=90.00 beta=90.00 gamma=90.00
Last column: nearest neighbours and their distance in Å.
Atoms (fractional coordinates):
1 Nb 0.0000 0.5000 0.0000  2 Cd 2.64
2 Nb 0.5000 0.0000 0.0000  2 Cd 2.64
3 Cd 0.0000 0.0000 0.0000  2 Te 2.56, 4 Nb 2.64
4 Te 0.0000 0.0000 0.5000  2 Cd 2.56
5 As 0.5000 0.5000 0.5000  8 Nb 3.68, 4 Te 3.73

E_tot	-3.995	eV per atom
density of states at the Fermi level	1.171	states/eV/atom
uncorrected formation energy	1.774	eV/atom
space-group type	P4/mmm, No. 123


# 11
NdCdAs2 | PBE | optimized geometry

Unit cell a=4.7900 b=4.7900 c=3.9585 alpha=90.00 beta=90.00 gamma=90.00
Last column: nearest neighbours and their distance in Å.
Atoms (fractional coordinates):
1 Nd 0.0000 0.0000 0.0000  8 As 3.11, 4 Cd 3.39
2 Cd 0.5000 0.5000 0.0000  8 As 3.11, 4 Nd 3.39
3 As 0.0000 0.5000 0.5000  4 Cd 3.11, 4 Nd 3.11, 4 As 3.39
4 As 0.5000 0.0000 0.5000  4 Cd 3.11, 4 Nd 3.11, 4 As 3.39

E_tot	-4.364	eV per atom
density of states at the Fermi level	0.397	states/eV/atom
ΔE_f	-619	meV per atom
space-group type	P4/mmm, No. 123


# 12
NdCdAs2 | PBE | optimized geometry

Unit cell a=6.7442 b=6.7442 c=6.7442 alpha=37.42 beta=37.42 gamma=37.42
Last column: nearest neighbours and their distance in Å.
Atoms (fractional coordinates):
1 Nd 0.0000 0.0000 0.0000  6 As 2.99
2 Cd 0.5000 0.5000 0.5000  6 As 2.91
3 As 0.2460 0.2460 0.2460  3 Cd 2.91, 3 Nd 2.99
4 As 0.7540 0.7540 0.7540  3 Cd 2.91, 3 Nd 2.99

E_tot	-4.305	eV per atom
density of states at the Fermi level	0.773	states/eV/atom
ΔE_f	-560	meV per atom
space-group type	R-3m, No. 166


# 13
Nd2CdAs2O | PBE | optimized geometry

Unit cell a=3.3885 b=3.3885 c=15.3694 alpha=90.00 beta=90.00 gamma=90.00
Last column: nearest neighbours and their distance in Å.
Atoms (fractional coordinates):
1 Nd 0.0000 0.0000 0.1369  1 O 2.10
2 Nd 0.0000 0.0000 0.8631  1 O 2.10
3 Cd 0.0000 0.0000 0.5000  2 As 2.55
4 As 0.0000 0.0000 0.3342  1 Cd 2.55
5 As 0.0000 0.0000 0.6658  1 Cd 2.55
6 O 0.0000 0.0000 0.0000  2 Nd 2.10

E_tot	-4.442	eV per atom
density of states at the Fermi level	0.755	states/eV/atom
uncorrected formation energy	-0.324	eV/atom
space-group type	P4/mmm, No. 123


# 14
NdCdAs2Pd5 | PBE | optimized geometry

Unit cell a=4.6918 b=4.6918 c=7.7569 alpha=90.00 beta=90.00 gamma=90.00
Last column: nearest neighbours and their distance in Å.
Atoms (fractional coordinates):
1 Nd 0.0000 0.0000 0.0000  12 Pd 3.00-3.32
2 Cd 0.0000 0.0000 0.5000  8 Pd 3.09
3 As 0.5000 0.5000 0.3368  5 Pd 2.46-2.61, 1 As 2.53
4 As 0.5000 0.5000 0.6632  5 Pd 2.46-2.61, 1 As 2.53
5 Pd 0.0000 0.5000 0.2414  2 As 2.46
6 Pd 0.0000 0.5000 0.7585  2 As 2.46
7 Pd 0.5000 0.0000 0.2414  2 As 2.46
8 Pd 0.5000 0.0000 0.7585  2 As 2.46
9 Pd 0.5000 0.5000 0.0000  2 As 2.61

E_tot	-5.055	eV per atom
density of states at the Fermi level	0.382	states/eV/atom
ΔE_f	-506	meV per atom
space-group type	P4/mmm, No. 123


# 15
NdCdAs2Rh5 | PBE | optimized geometry

Unit cell a=4.0539 b=4.0539 c=11.0070 alpha=90.00 beta=90.00 gamma=90.00
Last column: nearest neighbours and their distance in Å.
Atoms (fractional coordinates):
1 Nd 0.0000 0.0000 0.0000  4 Rh 2.87
2 Cd 0.0000 0.0000 0.5000  8 Rh 2.77
3 As 0.5000 0.5000 0.2160  5 Rh 2.38
4 As 0.5000 0.5000 0.7840  5 Rh 2.38
5 Rh 0.0000 0.5000 0.3287  2 As 2.38
6 Rh 0.0000 0.5000 0.6713  2 As 2.38
7 Rh 0.5000 0.0000 0.3287  2 As 2.38
8 Rh 0.5000 0.0000 0.6713  2 As 2.38
9 Rh 0.5000 0.5000 0.0000  2 As 2.38

E_tot	-6.054	eV per atom
density of states at the Fermi level	0.499	states/eV/atom
ΔE_f	-305	meV per atom
space-group type	P4/mmm, No. 123


# 16
Nd2CdAs4Rh3 | PBE | optimized geometry

Unit cell a=4.3380 b=4.3380 c=10.4192 alpha=90.00 beta=90.00 gamma=90.00
Last column: nearest neighbours and their distance in Å.
Atoms (fractional coordinates):
1 Nd 0.0000 0.5000 0.2351  8 As 3.27-3.29, 7 Rh 3.31-3.65, 2 Cd 3.51
2 Nd 0.5000 0.0000 0.7649  8 As 3.27-3.29, 7 Rh 3.31-3.65, 2 Cd 3.51
3 Cd 0.0000 0.0000 0.5000  4 As 2.68
4 As 0.0000 0.0000 0.0000  4 Rh 2.48
5 As 0.0000 0.5000 0.6513  3 Rh 2.43-2.68, 2 Cd 2.68
6 As 0.5000 0.0000 0.3487  3 Rh 2.43-2.68, 2 Cd 2.68
7 As 0.5000 0.5000 0.0000  4 Rh 2.48
8 Rh 0.0000 0.5000 0.8847  5 As 2.43-2.48
9 Rh 0.5000 0.0000 0.1153  5 As 2.43-2.48
10 Rh 0.5000 0.5000 0.5000  4 As 2.68

E_tot	-5.899	eV per atom
density of states at the Fermi level	0.457	states/eV/atom
ΔE_f	-789	meV per atom
space-group type	P-4m2, No. 115


# 17
Nd2CdAs3Rh4 | PBE | optimized geometry

Unit cell a=4.1412 b=4.1412 c=11.1019 alpha=90.00 beta=90.00 gamma=90.00
Last column: nearest neighbours and their distance in Å.
Atoms (fractional coordinates):
1 Nd 0.0000 0.5000 0.2450  8 Rh 3.12-3.42, 4 As 3.20
2 Nd 0.5000 0.0000 0.7550  8 Rh 3.12-3.42, 4 As 3.20
3 Cd 0.0000 0.0000 0.5000  4 Rh 2.71, 4 As 2.93
4 As 0.0000 0.5000 0.8718  5 Rh 2.38-2.51
5 As 0.5000 0.0000 0.1282  5 Rh 2.38-2.51
6 As 0.5000 0.5000 0.5000  4 Rh 2.71, 4 Cd 2.93
7 Rh 0.0000 0.0000 0.0000  4 As 2.51
8 Rh 0.0000 0.5000 0.6577  1 As 2.38
9 Rh 0.5000 0.0000 0.3423  1 As 2.38
10 Rh 0.5000 0.5000 0.0000  4 As 2.51

E_tot	-6.180	eV per atom
density of states at the Fermi level	0.402	states/eV/atom
ΔE_f	-799	meV per atom
space-group type	P-4m2, No. 115


# 18
CdNiAs2 | PBE | optimized geometry

Unit cell a=2.8763 b=2.8763 c=9.2796 alpha=90.00 beta=90.00 gamma=90.00
Last column: nearest neighbours and their distance in Å.
Atoms (fractional coordinates):
1 Cd 0.0000 0.0000 0.0000  4 Cd 2.88
2 Ni 0.0000 0.0000 0.5000  8 As 2.58, 4 Ni 2.88
3 As 0.5000 0.5000 0.3294  4 Ni 2.58, 4 As 2.88
4 As 0.5000 0.5000 0.6706  4 Ni 2.58, 4 As 2.88

E_tot	-3.981	eV per atom
density of states at the Fermi level	0.379	states/eV/atom
ΔE_f	17	meV per atom
space-group type	P4/mmm, No. 123


# 19
Cd2NiAs | PBE | optimized geometry

Unit cell a=8.8016 b=8.8016 c=8.8016 alpha=20.97 beta=20.97 gamma=20.97
Last column: nearest neighbours and their distance in Å.
Atoms (fractional coordinates):
1 Cd 0.0000 0.0000 0.0000  3 Ni 2.76
2 Cd 0.2317 0.2317 0.2317  3 As 3.11, 9 Cd 3.20-3.21
3 Ni 0.7460 0.7460 0.7460  3 As 2.34
4 As 0.4682 0.4682 0.4682  3 Ni 2.34

E_tot	-3.056	eV per atom
density of states at the Fermi level	0.606	states/eV/atom
ΔE_f	10	meV per atom
space-group type	R3m, No. 160


# 20
Cd4NiAs | PBE | optimized geometry

Unit cell a=5.6277 b=5.6277 c=5.6277 alpha=60.00 beta=60.00 gamma=60.00
Last column: nearest neighbours and their distance in Å.
Atoms (fractional coordinates):
1 Cd 0.1246 0.1246 0.1246  6 Cd 2.81-2.82
2 Cd 0.1246 0.1246 0.6261  6 Cd 2.81-2.82
3 Cd 0.1246 0.6261 0.1246  6 Cd 2.81-2.82
4 Cd 0.6261 0.1246 0.1246  6 Cd 2.81-2.82
5 Ni 0.7500 0.7500 0.7500  12 Cd 3.30, 4 As 3.45
6 As 0.5000 0.5000 0.5000  12 Cd 3.30, 4 Ni 3.45

E_tot	-1.918	eV per atom
density of states at the Fermi level	0.559	states/eV/atom
ΔE_f	431	meV per atom
space-group type	F-43m, No. 216